(1)
Crystalline Ca2ZnGa2Rh5 at its relaxed geometry. Source: Alexandria via LeMat-Bulk, functional GGA-PBE.

Lattice parameters (Å, degrees): 3.267 10.146 10.146 90.00 90.00 90.00
Atoms (fractional coordinates):
Ca 0.000 0.672 0.172
Ca 0.000 0.328 0.828
Ca 0.000 0.172 0.328
Ca 0.000 0.828 0.672
Zn 0.000 0.000 0.000
Zn 0.000 0.500 0.500
Ga 0.000 0.131 0.631
Ga 0.000 0.869 0.369
Ga 0.000 0.631 0.869
Ga 0.000 0.369 0.131
Rh 0.500 0.197 0.063
Rh 0.500 0.803 0.937
Rh 0.500 0.063 0.803
Rh 0.500 0.697 0.437
Rh 0.500 0.937 0.197
Rh 0.500 0.303 0.563
Rh 0.500 0.563 0.697
Rh 0.500 0.437 0.303
Rh 0.500 0.500 0.000
Rh 0.500 0.000 0.500

Calculated values
* total DFT energy (no corrections): -5.34 eV per atom
* crystal system: tetragonal
* DFT formation energy: -0.528 eV per atom

(2)
Crystalline RbHfTe2 at its relaxed geometry. Source: Alexandria via LeMat-Bulk, functional GGA-PBE.

Lattice parameters (Å, degrees): 3.997 7.776 9.935 107.59 90.00 90.00
Atoms (fractional coordinates):
Rb 0.750 0.187 0.324
Rb 0.250 0.813 0.676
Hf 0.750 0.385 0.867
Hf 0.250 0.615 0.133
Te 0.250 0.235 0.017
Te 0.750 0.765 0.983
Te 0.250 0.307 0.648
Te 0.750 0.693 0.352

Calculated values
* total DFT energy (no corrections): -5.14 eV per atom
* formation energy (no corrections): -0.84 eV/atom
* crystal system: monoclinic